# 1
{"formula": "SrGd2Hg", "functional": "PBE", "state": "relaxed", "lattice_angstrom": [[3.814, 0.000, 0.000], [0.000, 3.814, 0.000], [0.000, 0.000, 9.473]], "species": ["Sr", "Gd", "Gd", "Hg"], "fractional_positions": [[0.000, 0.000, 0.000], [0.500, 0.500, 0.313], [0.500, 0.500, 0.687], [0.000, 0.000, 0.500]], "relative_energy_ev_per_atom": 0.000, "ef_ev_per_atom": -0.15, "sg": "P4/mmm", "energy_ev_per_atom": -7.682}

---

# 2
{"formula": "Ta2NiP", "functional": "PBE", "state": "relaxed", "lattice_angstrom": [[-1.800, 2.267, 3.649], [1.800, -2.267, 3.649], [1.800, 2.267, -3.649]], "species": ["Ta", "Ta", "Ni", "P"], "fractional_positions": [[0.237, 0.237, 0.000], [0.763, 0.763, 0.000], [0.500, 0.000, 0.500], [0.000, 0.500, 0.500]], "ef_ev_per_atom": -0.30, "sg": "Immm", "energy_ev_per_atom": -9.029}

---

# 3
{"formula": "LiReAs2", "functional": "PBE", "state": "relaxed", "lattice_angstrom": [[1.589, 0.918, 7.732], [-1.589, 0.918, 7.732], [0.000, -1.835, 7.732]], "species": ["Li", "Re", "As", "As"], "fractional_positions": [[0.000, 0.000, 0.000], [0.839, 0.839, 0.839], [0.248, 0.248, 0.248], [0.428, 0.428, 0.428]], "relative_energy_ev_per_atom": 0.029, "ef_ev_per_atom": -0.16, "sg": "R3m", "energy_ev_per_atom": -6.074}

---

# 4
{"formula": "Tl4FeTc", "functional": "PBE", "state": "relaxed", "lattice_angstrom": [[0.000, 4.286, 4.286], [4.286, 0.000, 4.286], [4.286, 4.286, 0.000]], "species": ["Tl", "Tl", "Tl", "Tl", "Fe", "Tc"], "fractional_positions": [[0.125, 0.125, 0.125], [0.125, 0.125, 0.625], [0.125, 0.625, 0.125], [0.625, 0.125, 0.125], [0.750, 0.750, 0.750], [0.500, 0.500, 0.500]], "ef_ev_per_atom": 1.24, "sg": "F-43m", "energy_ev_per_atom": -3.476}

---

What did the fourth record say?
{"formula": "Tl4FeTc", "functional": "PBE", "state": "relaxed", "lattice_angstrom": [[0.000, 4.286, 4.286], [4.286, 0.000, 4.286], [4.286, 4.286, 0.000]], "species": ["Tl", "Tl", "Tl", "Tl", "Fe", "Tc"], "fractional_positions": [[0.125, 0.125, 0.125], [0.125, 0.125, 0.625], [0.125, 0.625, 0.125], [0.625, 0.125, 0.125], [0.750, 0.750, 0.750], [0.500, 0.500, 0.500]], "ef_ev_per_atom": 1.24, "sg": "F-43m", "energy_ev_per_atom": -3.476}